No. 1
Computed, not measured: a geometry-optimized DyScTlNi2 structure at the PBE-GGA level of DFT.

extended XYZ file:
```
5
Lattice="-3.356 -0.997 -0.637 -1.950 2.276 6.715 -2.426 5.324 4.455" Properties=species:S:1:pos:R:3 pbc="T T T"
Ni -5.170 5.566 8.595
Ni -2.534 0.989 1.867
Tl -1.698 -0.463 -0.267
Sc -2.807 4.875 7.165
Dy -1.577 2.740 4.026
```

Computed properties:
- Raw total energy: -5.34 eV per atom
- Magnetization: 0.00 μB/f.u.

No. 2
Computed, not measured: a geometry-optimized SmGdSb structure at the PBE-GGA level of DFT.

extended XYZ file:
```
3
Lattice="1.602 2.047 4.439 1.970 4.752 0.079 -2.646 3.846 2.162" Properties=species:S:1:pos:R:3 pbc="T T T"
Sm 0.695 7.984 5.010
Sb 0.000 0.000 0.000
Gd 0.232 2.661 1.670
```

Computed properties:
- Offset from the most stable computed form: 0.000 eV per atom
- Raw total energy: -5.10 eV per atom
- Magnetization: 0.06 μB/f.u.

No. 3
Computed, not measured: a geometry-optimized Nd2In structure at the PBE-GGA level of DFT.

extended XYZ file:
```
6
Lattice="5.561 0.000 0.000 -2.781 4.816 0.000 0.000 0.000 6.928" Properties=species:S:1:pos:R:3 pbc="T T T"
Nd 0.000 0.000 0.000
Nd 0.000 0.000 3.464
Nd 2.781 1.605 1.732
Nd 0.000 3.211 5.196
In 0.000 3.211 1.732
In 2.781 1.605 5.196
```

Computed properties:
- Raw total energy: -4.43 eV per atom
- Magnetization: 0.79 μB/f.u.

No. 4
Computed, not measured: a geometry-optimized HgP2PdO7 structure at the PBE-GGA level of DFT.

extended XYZ file:
```
22
Lattice="-0.240 4.811 0.180 -3.888 -2.387 -5.934 -6.291 -0.544 6.160" Properties=species:S:1:pos:R:3 pbc="T T T"
P -2.626 1.648 0.550
P -7.793 0.233 -0.144
P -4.586 -0.722 -3.270
P -5.833 2.603 3.676
Hg -5.090 -1.465 0.113
Hg -2.064 1.212 -2.877
Pd 0.000 0.000 0.000
Pd -3.146 -0.272 3.080
O -4.831 1.848 4.704
O -1.700 2.419 1.636
O -6.826 3.434 4.497
O -8.767 0.862 0.865
O -7.023 -0.825 0.636
O -4.930 3.399 2.720
O -6.890 1.218 -0.897
O -6.497 1.534 2.817
O -3.529 0.663 1.303
O -1.653 1.019 -0.459
O -3.593 -1.553 -4.091
O -3.922 0.346 -2.411
O -3.396 2.706 -0.230
O -5.489 -1.518 -2.314
```

Computed properties:
- Raw total energy: -6.13 eV per atom